1.
# BaCaAs2, relaxed, DFT PBE-GGA
# - Distance to the lowest polymorph of the same formula: 6.3 kJ/mol of atoms
# - Volume: 30.0 Å³/atom
data_BaCaAs2
_chemical_formula_sum 'Ba2 Ca2 As4'
_symmetry_space_group_name_H-M 'I m m m'
_symmetry_Int_Tables_number 71
_symmetry_space_group_name_Hall '-I 2 2'
_cell_length_a 5.338
_cell_length_b 6.377
_cell_length_c 7.055
_cell_angle_alpha 90.00
_cell_angle_beta 90.00
_cell_angle_gamma 90.00
loop_
_atom_site_label
_atom_site_type_symbol
_atom_site_fract_x
_atom_site_fract_y
_atom_site_fract_z
Ba1 Ba 0.000 0.000 0.000
Ca1 Ca 0.000 0.000 0.500
As1 As 0.000 0.500 0.187



2.
# BaCaAs2, relaxed, DFT PBE-GGA
# - Distance to the lowest polymorph of the same formula: 17.3 kJ/mol of atoms
# - Volume: 30.9 Å³/atom
data_BaCaAs2
_chemical_formula_sum 'Ba2 Ca2 As4'
_symmetry_space_group_name_H-M 'I m m 2'
_symmetry_Int_Tables_number 44
_cell_length_a 4.043
_cell_length_b 4.506
_cell_length_c 13.547
_cell_angle_alpha 90.00
_cell_angle_beta 90.00
_cell_angle_gamma 90.00
loop_
_symmetry_equiv_pos_as_xyz
'x,y,z'
'-x,-y,z'
'-x,y,z'
'x,-y,z'
'x+1/2,y+1/2,z+1/2'
'-x+1/2,-y+1/2,z+1/2'
'-x+1/2,y+1/2,z+1/2'
'x+1/2,-y+1/2,z+1/2'
loop_
_atom_site_label
_atom_site_type_symbol
_atom_site_fract_x
_atom_site_fract_y
_atom_site_fract_z
Ba1 Ba 0.000 0.000 0.000
Ca1 Ca 0.000 0.500 0.249
As1 As 0.000 0.000 0.399
As2 As 0.000 0.500 0.730



3.
# Ba4CaAs, relaxed, DFT PBE-GGA
# - Volume: 47.8 Å³/atom
data_Ba4CaAs
_chemical_formula_sum 'Ba16 Ca4 As4'
_symmetry_space_group_name_H-M 'F -4 3 m'
_symmetry_Int_Tables_number 216
_symmetry_space_group_name_Hall 'F -4 2 3'
_cell_length_a 10.467
_cell_length_b 10.467
_cell_length_c 10.467
_cell_angle_alpha 90.00
_cell_angle_beta 90.00
_cell_angle_gamma 90.00
loop_
_atom_site_label
_atom_site_type_symbol
_atom_site_fract_x
_atom_site_fract_y
_atom_site_fract_z
Ba1 Ba 0.123 0.123 0.377
Ca1 Ca 0.000 0.000 0.000
As1 As 0.250 0.250 0.750



4.
# Ba2CaAs2, relaxed, DFT PBE-GGA
# - Distance to the lowest polymorph of the same formula: 61.1 kJ/mol of atoms
# - Volume: 35.8 Å³/atom
data_Ba2CaAs2
_chemical_formula_sum 'Ba4 Ca2 As4'
_symmetry_space_group_name_H-M 'I 4/m m m'
_symmetry_Int_Tables_number 139
_symmetry_space_group_name_Hall '-I 4 2'
_cell_length_a 5.152
_cell_length_b 5.152
_cell_length_c 13.467
_cell_angle_alpha 90.00
_cell_angle_beta 90.00
_cell_angle_gamma 90.00
loop_
_atom_site_label
_atom_site_type_symbol
_atom_site_fract_x
_atom_site_fract_y
_atom_site_fract_z
Ba1 Ba 0.000 0.500 0.250
Ca1 Ca 0.000 0.000 0.000
As1 As 0.000 0.000 0.405



5.
# BaCa5As4, relaxed, DFT PBE-GGA
# - Volume: 31.8 Å³/atom
data_BaCa5As4
_chemical_formula_sum 'Ba2 Ca10 As8'
_symmetry_space_group_name_H-M 'C 1 2/m 1'
_symmetry_Int_Tables_number 12
_cell_length_a 18.003
_cell_length_b 4.684
_cell_length_c 7.559
_cell_angle_alpha 90.00
_cell_angle_beta 94.98
_cell_angle_gamma 90.00
loop_
_symmetry_equiv_pos_as_xyz
'x,y,z'
'-x,-y,-z'
'-x,y,-z'
'x,-y,z'
'x+1/2,y+1/2,z'
'-x+1/2,-y+1/2,-z'
'-x+1/2,y+1/2,-z'
'x+1/2,-y+1/2,z'
loop_
_atom_site_label
_atom_site_type_symbol
_atom_site_fract_x
_atom_site_fract_y
_atom_site_fract_z
Ba1 Ba 0.000 0.000 0.000
Ca1 Ca 0.000 0.000 0.500
Ca2 Ca 0.166 0.500 0.481
Ca3 Ca 0.175 0.500 0.989
As1 As 0.049 0.500 0.730
As2 As 0.192 0.000 0.242



6.
# Ba2Ca2As, relaxed, DFT PBE-GGA
# - Volume: 42.4 Å³/atom
data_Ba2Ca2As
_chemical_formula_sum 'Ba4 Ca4 As2'
_symmetry_space_group_name_H-M 'P 4/m b m'
_symmetry_Int_Tables_number 127
_symmetry_space_group_name_Hall '-P 4 2ab'
_cell_length_a 8.051
_cell_length_b 8.051
_cell_length_c 6.535
_cell_angle_alpha 90.00
_cell_angle_beta 90.00
_cell_angle_gamma 90.00
loop_
_atom_site_label
_atom_site_type_symbol
_atom_site_fract_x
_atom_site_fract_y
_atom_site_fract_z
Ba1 Ba 0.169 0.331 0.000
Ca1 Ca 0.165 0.665 0.500
As1 As 0.000 0.000 0.500



no.,formation enthalpy at 0 K (eV per atom)
1,-0.864
2,-0.750
3,0.299
4,-0.500
5,-1.081
6,-0.288